(1)
MgZn2Ga3 | PBE-GGA | relaxed

The total energy comes out at -2.235 eV/atom. The value obtained for the magnetization is 0.00 μB/f.u. The polymorph energy (0 for the lowest one) comes out at 0 meV/atom. The formation energy comes out at -0.7 kcal/mol of atoms.

The space group is Cmmm (No. 65) and the conventional cell measures 4.187, 12.482 and 4.018 Å, with angles of 90.00, 90.00 and 90.00 degrees. The asymmetric unit holds Mg at (0.000, 0.000, 0.000), Zn at (0.000, 0.329, 0.000), Ga at (0.000, 0.171, 0.500) and Ga at (0.000, 0.500, 0.500).

(2)
Mg5ZnGa3 | PBE-GGA | relaxed

The total energy comes out at -1.955 eV/atom. The value obtained for the magnetization is 0.00 μB/f.u. The formation energy comes out at 1.9 kcal/mol of atoms.

The space group is C2/m (No. 12) and the conventional cell measures 11.329, 9.472 and 9.646 Å, with angles of 90.00, 123.94 and 90.00 degrees. The asymmetric unit holds Mg at (0.000, 0.207, 0.000), Mg at (0.090, 0.231, 0.722), Mg at (0.185, 0.500, 0.618), Mg at (0.245, 0.000, 0.011), Zn at (0.235, 0.500, 0.296), Ga at (0.000, 0.000, 0.500), Ga at (0.000, 0.500, 0.000), Ga at (0.007, 0.500, 0.287) and Ga at (0.036, 0.000, 0.230).

Question: Number 1 is which compound?
Answer: MgZn2Ga3